No. 1
# Ba2NaIrN6, optimized geometry, DFT PBE
# Energy above the lowest structure with this stoichiometry = 6.5 meV/atom
# Raw total energy = -5.652 eV/atom
data_Ba2NaIrN6
_chemical_formula_sum 'Ba4 Na2 Ir2 N12'
_space_group_name_H-M_alt 'I 4/m'
_space_group_IT_number 87
_space_group_name_Hall '-I 4'
_cell_length_a 6.001
_cell_length_b 6.001
_cell_length_c 8.491
_cell_angle_alpha 90.00
_cell_angle_beta 90.00
_cell_angle_gamma 90.00
loop_
_atom_site_label
_atom_site_type_symbol
_atom_site_fract_x
_atom_site_fract_y
_atom_site_fract_z
_atom_site_occupancy
Ba1 Ba 0.000 0.500 0.250 1
Na1 Na 0.000 0.000 0.000 1
Ir1 Ir 0.000 0.000 0.500 1
N1 N 0.000 0.000 0.271 1
N2 N 0.224 0.235 0.500 1

No. 2
# AgGe2W, optimized geometry, DFT PBE
# Raw total energy = -5.432 eV/atom
data_AgGe2W
_chemical_formula_sum 'Ag4 Ge8 W4'
_space_group_name_H-M_alt 'F -4 3 m'
_space_group_IT_number 216
_space_group_name_Hall 'F -4 2 3'
_cell_length_a 6.503
_cell_length_b 6.503
_cell_length_c 6.503
_cell_angle_alpha 90.00
_cell_angle_beta 90.00
_cell_angle_gamma 90.00
loop_
_atom_site_label
_atom_site_type_symbol
_atom_site_fract_x
_atom_site_fract_y
_atom_site_fract_z
_atom_site_occupancy
Ag1 Ag 0.000 0.000 0.000 1
Ge1 Ge 0.000 0.000 0.500 1
Ge2 Ge 0.250 0.250 0.250 1
W1 W 0.250 0.250 0.750 1